# Nd7SmDy4 | Alexandria via LeMat-Bulk | PBE-GGA | relaxed
# Calculated formation energy: 0.21 eV per atom
# Energy above the lowest structure with this stoichiometry: 199.0 meV per atom
# Spin magnetization: 0.011 μB per atom
data_Nd7SmDy4
_chemical_formula_sum 'Nd14 Sm2 Dy8'
_space_group_name_H-M_alt 'C 1 2/m 1'
_space_group_IT_number 12
_cell_length_a 16.231
_cell_length_b 6.026
_cell_length_c 9.463
_cell_angle_alpha 90.00
_cell_angle_beta 116.43
_cell_angle_gamma 90.00
loop_
_space_group_symop_operation_xyz
'x,y,z'
'-x,-y,-z'
'-x,y,-z'
'x,-y,z'
'x+1/2,y+1/2,z'
'-x+1/2,-y+1/2,-z'
'-x+1/2,y+1/2,-z'
'x+1/2,-y+1/2,z'
loop_
_atom_site_label
_atom_site_type_symbol
_atom_site_fract_x
_atom_site_fract_y
_atom_site_fract_z
Nd1 Nd 0.000 0.000 0.000
Nd2 Nd 0.085 0.500 0.448
Nd3 Nd 0.211 0.500 0.235
Nd4 Nd 0.213 0.500 0.882
Sm1 Sm 0.000 0.500 0.000
Dy1 Dy 0.072 0.000 0.698
Dy2 Dy 0.171 0.000 0.386